# 1
Here is a relaxed structure of LiLa6Tc2 from Alexandria. Energies are from GGA-PBE.

Computed properties:
Total magnetic moment = 0.00 μB per formula unit
Calculated formation energy = -0.15 eV per formula unit
Space group = No. 71

abc: 8.9169 8.9169 8.9169
angles: 108.21 109.24 110.98
Last column: nearest neighbours and their distance in Å.
Element x y z (fractional)
Li 0.0000 0.5000 0.5000  12 La 3.61-3.88
Li 0.0000 0.0000 0.0000  4 La 3.11, 2 Tc 3.34
La 0.5256 0.7119 0.8137  3 Tc 3.13-3.24, 1 Li 3.49
La 0.4744 0.2881 0.1863  3 Tc 3.13-3.24, 1 Li 3.49
La 0.1017 0.2881 0.8137  3 Tc 3.13-3.24, 1 Li 3.49
La 0.8983 0.7119 0.1863  3 Tc 3.13-3.24, 1 Li 3.49
La 0.7969 0.7807 0.5777  1 Tc 2.61
La 0.2031 0.2193 0.4223  1 Tc 2.61
La 0.2031 0.7807 0.9838  1 Tc 2.61
La 0.7969 0.2193 0.0162  1 Tc 2.61
La 0.6849 0.3635 0.6787  1 Tc 2.83
La 0.3151 0.6365 0.3213  1 Tc 2.83
La 0.3151 0.9938 0.6787  1 Tc 2.83
La 0.6849 0.0062 0.3213  1 Tc 2.83
Tc 0.5000 0.3826 0.8826  1 Tc 2.45
Tc 0.5000 0.6174 0.1174  1 Tc 2.45
Tc 0.6765 0.0000 0.6765  2 La 2.61
Tc 0.3235 0.0000 0.3235  2 La 2.61

=====

# 2
Here is a relaxed structure of Er2HfTl from Alexandria. Energies are from GGA-PBE.

Computed properties:
Total magnetic moment = 0.00 μB per formula unit
Calculated formation energy = -0.41 eV per formula unit
Space group = No. 123
Offset from the most stable computed form = 0.0 meV/atom

abc: 3.4151 3.4151 9.0625
angles: 90.00 90.00 90.00
Last column: nearest neighbours and their distance in Å.
Element x y z (fractional)
Tl 0.5000 0.5000 0.0000  8 Er 3.32, 4 Tl 3.42
Hf 0.5000 0.5000 0.5000  8 Er 3.30, 4 Hf 3.42
Er 0.0000 0.0000 0.7485  4 Hf 3.30, 4 Tl 3.32, 4 Er 3.42
Er 0.0000 0.0000 0.2515  4 Hf 3.30, 4 Tl 3.32, 4 Er 3.42

=====

# 3
Here is a relaxed structure of Cr3W from Alexandria. Energies are from GGA-PBE.

Computed properties:
Total magnetic moment = 0.00 μB per formula unit
Calculated formation energy = 1.72 eV per formula unit
Space group = No. 221

abc: 3.7459 3.7459 3.7459
angles: 90.00 90.00 90.00
Last column: nearest neighbours and their distance in Å.
Element x y z (fractional)
Cr 0.0000 0.0000 0.0000  8 Cr 2.65, 4 W 2.65
Cr 0.0000 0.5000 0.5000  8 Cr 2.65, 4 W 2.65
Cr 0.5000 0.0000 0.5000  8 Cr 2.65, 4 W 2.65
W 0.5000 0.5000 0.0000  12 Cr 2.65

=====

Among the records above, which one has the highest calculated formation energy?
Cr3W